Density functional theory data (PBE-GGA) for crystalline AcHoTeAs at its relaxed geometry.

Total moment, μB per cell: 0.00
Energy, eV/cell: -66.5
ΔE_f (raw), eV/atom: -1.419

Lattice parameters (Å, degrees): 4.3062 4.3062 23.2817 90.00 90.00 120.00
Space group R3m (No. 160, hexagonal axes)
One atom of each set of equivalent atoms:
Ac 0.0000 0.0000 0.0000 x3
Ho 0.0000 0.0000 0.1887 x3
Te 0.0000 0.0000 0.4344 x3
As 0.0000 0.0000 0.5872 x3